No. 1
Here is a PBEsol-optimized structure of MnTlCl2 from Alexandria via LeMat-Bulk. Energies are from SCAN.

## Properties
Its uncorrected formation energy is -2.01 eV/f.u. Its density of states at the Fermi level is 0.52 states/eV per atom. The crystal system is tetragonal.

a b c (Å): 4.076 4.076 11.105
angles (deg): 90.00 90.00 90.00
Space group I-4m2 (No. 119)
One atom of each set of equivalent atoms:
Mn 0.000 0.000 0.000
Tl 0.000 0.500 0.250
Cl 0.000 0.000 0.500
Cl 0.000 0.500 0.750

No. 2
Here is a PBEsol-optimized structure of MnTl3Cl from Alexandria via LeMat-Bulk. Energies are from SCAN.

## Properties
Its uncorrected formation energy is 1.41 eV/f.u. Its density of states at the Fermi level is 0.49 states/eV per atom. The crystal system is cubic.

a b c (Å): 5.602 5.602 5.602
angles (deg): 90.00 90.00 90.00
Space group Pm-3m (No. 221)
One atom of each set of equivalent atoms:
Mn 0.000 0.000 0.000
Tl 0.000 0.500 0.500
Cl 0.500 0.500 0.500

No. 3
Here is a PBEsol-optimized structure of MnTlCl3 from Alexandria via LeMat-Bulk. Energies are from SCAN.

## Properties
Its uncorrected formation energy is -6.96 eV/f.u. Its density of states at the Fermi level is 0.00 states/eV per atom. The crystal system is cubic.

a b c (Å): 4.942 4.942 4.942
angles (deg): 90.00 90.00 90.00
Space group Pm-3m (No. 221)
One atom of each set of equivalent atoms:
Mn 0.000 0.000 0.000
Tl 0.500 0.500 0.500
Cl 0.000 0.000 0.500

No. 4
Here is a PBEsol-optimized structure of Mn2TlCl from Alexandria via LeMat-Bulk. Energies are from SCAN.

## Properties
Its uncorrected formation energy is -0.62 eV/f.u. Its density of states at the Fermi level is 0.73 states/eV per atom. The crystal system is trigonal.

a b c (Å): 3.0609 3.0609 27.9004
angles (deg): 90.00 90.00 120.00
Space group R3m (No. 160, hexagonal axes)
One atom of each set of equivalent atoms:
Mn 0.0000 0.0000 0.0000
Mn 0.0000 0.0000 0.2642
Tl 0.0000 0.0000 0.5116
Cl 0.0000 0.0000 0.7226

No. 5
Here is a PBEsol-optimized structure of MnWCl2 from Alexandria via LeMat-Bulk. Energies are from SCAN.

## Properties
Its uncorrected formation energy is -0.33 eV/f.u. Its density of states at the Fermi level is 0.39 states/eV per atom. The crystal system is orthorhombic.

a b c (Å): 2.955 4.316 13.203
angles (deg): 90.00 90.00 90.00
Space group Immm (No. 71)
One atom of each set of equivalent atoms:
Mn 0.000 0.000 0.000
W 0.000 0.000 0.500
Cl 0.000 0.500 0.149

No. 6
Here is a PBEsol-optimized structure of Y4MnCl from Alexandria via LeMat-Bulk. Energies are from SCAN.

## Properties
Its uncorrected formation energy is 2.70 eV/f.u. Its density of states at the Fermi level is 1.08 states/eV per atom. The crystal system is cubic.

a b c (Å): 8.882 8.882 8.882
angles (deg): 90.00 90.00 90.00
Space group F-43m (No. 216)
One atom of each set of equivalent atoms:
Y 0.123 0.123 0.123
Mn 0.250 0.250 0.750
Cl 0.000 0.000 0.500

No. 7
Here is a PBEsol-optimized structure of YMn2Cl from Alexandria via LeMat-Bulk. Energies are from SCAN.

## Properties
Its uncorrected formation energy is -0.86 eV/f.u. Its density of states at the Fermi level is 1.04 states/eV per atom. The crystal system is tetragonal.

a b c (Å): 3.773 3.773 10.438
angles (deg): 90.00 90.00 90.00
Space group I4/mmm (No. 139)
One atom of each set of equivalent atoms:
Y 0.000 0.000 0.000
Mn 0.000 0.500 0.250
Cl 0.000 0.000 0.500

No. 8
Here is a PBEsol-optimized structure of YMn2Cl from Alexandria via LeMat-Bulk. Energies are from SCAN.

## Properties
Its uncorrected formation energy is 1.47 eV/f.u. Its density of states at the Fermi level is 0.75 states/eV per atom. The crystal system is cubic.

a b c (Å): 6.707 6.707 6.707
angles (deg): 90.00 90.00 90.00
Space group Fm-3m (No. 225)
One atom of each set of equivalent atoms:
Y 0.000 0.000 0.000
Mn 0.250 0.250 0.250
Cl 0.000 0.000 0.500

No. 9
Here is a PBEsol-optimized structure of YMn2Cl from Alexandria via LeMat-Bulk. Energies are from SCAN.

## Properties
Its uncorrected formation energy is -1.07 eV/f.u. Its density of states at the Fermi level is 0.63 states/eV per atom. The crystal system is trigonal.

a b c (Å): 3.6017 3.6017 20.9205
angles (deg): 90.00 90.00 120.00
Space group R3m (No. 160, hexagonal axes)
One atom of each set of equivalent atoms:
Y 0.0000 0.0000 0.0000
Mn 0.0000 0.0000 0.2450
Mn 0.0000 0.0000 0.5566
Cl 0.0000 0.0000 0.7532

No. 10
Here is a PBEsol-optimized structure of YMn2Cl from Alexandria via LeMat-Bulk. Energies are from SCAN.

## Properties
Its uncorrected formation energy is -1.40 eV/f.u. Its density of states at the Fermi level is 0.46 states/eV per atom. The crystal system is monoclinic.

a b c (Å): 9.682 3.179 5.506
angles (deg): 90.00 118.80 90.00
Space group Cm (No. 8)
One atom of each set of equivalent atoms:
Y 0.000 0.000 0.000
Mn 0.104 0.500 0.527
Mn 0.334 0.500 0.392
Cl 0.257 0.000 0.947

No. 11
Here is a PBEsol-optimized structure of YMn2ZnCl from Alexandria via LeMat-Bulk. Energies are from SCAN.

## Properties
Its uncorrected formation energy is 2.85 eV/f.u. Its density of states at the Fermi level is 0.82 states/eV per atom. The crystal system is tetragonal.

a b c (Å): 5.371 5.371 5.033
angles (deg): 90.00 90.00 90.00
Space group P4/mmm (No. 123)
One atom of each set of equivalent atoms:
Y 0.000 0.000 0.000
Mn 0.000 0.500 0.000
Zn 0.500 0.500 0.500
Cl 0.000 0.000 0.500

No. 12
Here is a PBEsol-optimized structure of Mn2ZnCl from Alexandria via LeMat-Bulk. Energies are from SCAN.

## Properties
Its uncorrected formation energy is 1.42 eV/f.u. Its density of states at the Fermi level is 0.54 states/eV per atom. The crystal system is cubic.

a b c (Å): 6.199 6.199 6.199
angles (deg): 90.00 90.00 90.00
Space group F-43m (No. 216)
One atom of each set of equivalent atoms:
Mn 0.000 0.000 0.000
Mn 0.250 0.250 0.250
Zn 0.250 0.250 0.750
Cl 0.000 0.000 0.500